1.
# OsRhI2

A geometry-optimized OsRhI2 structure (PBE, the Alexandria database).

Lattice parameters (Å, degrees): 5.8938 5.8938 7.4121 66.57 66.57 90.00
Atoms (fractional coordinates):
1 Os 0.0000 0.0000 0.0000
2 Os 0.7500 0.2500 0.5000
3 I 0.6303 0.1250 0.2500
4 I 0.1197 0.6250 0.2500
5 I 0.8750 0.8803 0.7500
6 I 0.3750 0.3697 0.7500
7 Rh 0.5000 0.5000 0.0000
8 Rh 0.2500 0.7500 0.5000

Results
- Space group: No. 122
- E_form (uncorrected): 0.9811 eV per atom
- DOS at the Fermi energy: 9.2 states/eV/cell

***

2.
# OsRh2I

A geometry-optimized OsRh2I structure (PBE, the Alexandria database).

Lattice parameters (Å, degrees): 4.5555 4.5555 4.5555 60.00 60.00 60.00
Atoms (fractional coordinates):
1 I 0.0000 0.0000 0.0000
2 Os 0.5000 0.5000 0.5000
3 Rh 0.7500 0.7500 0.7500
4 Rh 0.2500 0.2500 0.2500

Results
- Space group: No. 225
- E_form (uncorrected): 1.0280 eV per atom
- DOS at the Fermi energy: 7.5 states/eV/cell

***

3.
# OsRhI2

A geometry-optimized OsRhI2 structure (PBE, the Alexandria database).

Lattice parameters (Å, degrees): 4.8082 4.8082 4.8082 60.00 60.00 60.00
Each line ends with the local moment (μB).
Atoms (fractional coordinates):
1 Os 0.5000 0.5000 0.5000  0.32
2 I 0.7500 0.7500 0.7500  0.01
3 I 0.2500 0.2500 0.2500  0.01
4 Rh 0.0000 0.0000 0.0000  0.27

Results
- Space group: No. 225
- E_form (uncorrected): 1.2331 eV per atom
- DOS at the Fermi energy: 5.9 states/eV/cell

***

4.
# OsRhI3

A geometry-optimized OsRhI3 structure (PBE, the Alexandria database).

Lattice parameters (Å, degrees): 5.3995 5.3995 5.3995 90.00 90.00 90.00
Each line ends with the local moment (μB).
Atoms (fractional coordinates):
1 I 0.5000 0.0000 0.0000  0.17
2 I 0.0000 0.0000 0.5000  0.07
3 I 0.0000 0.5000 0.0000  0.11
4 Os 0.0000 0.0000 0.0000  1.06
5 Rh 0.5000 0.5000 0.5000  1.51

Results
- Space group: No. 221
- E_form (uncorrected): 1.3127 eV per atom
- DOS at the Fermi energy: 8.3 states/eV/cell

***

5.
# OsRh3I

A geometry-optimized OsRh3I structure (PBE, the Alexandria database).

Lattice parameters (Å, degrees): 4.7763 4.7763 4.7763 90.00 90.00 90.00
Atoms (fractional coordinates):
1 Rh 0.0000 0.5000 0.0000
2 Rh 0.0000 0.0000 0.5000
3 Rh 0.5000 0.0000 0.0000
4 Os 0.0000 0.0000 0.0000
5 I 0.5000 0.5000 0.5000

Results
- Space group: No. 221
- E_form (uncorrected): 1.2640 eV per atom
- DOS at the Fermi energy: 5.7 states/eV/cell

***

6.
# OsRh2I

A geometry-optimized OsRh2I structure (PBE, the Alexandria database).

Lattice parameters (Å, degrees): 6.3152 6.3152 6.5051 60.96 60.96 90.00
Atoms (fractional coordinates):
1 Rh 0.0856 0.6250 0.2500
2 Rh 0.3750 0.3356 0.7500
3 Rh 0.8750 0.9144 0.7500
4 Rh 0.6644 0.1250 0.2500
5 Os 0.7500 0.2500 0.5000
6 Os 0.0000 0.0000 0.0000
7 I 0.5000 0.5000 0.0000
8 I 0.2500 0.7500 0.5000

Results
- Space group: No. 122
- E_form (uncorrected): 0.9117 eV per atom
- DOS at the Fermi energy: 5.4 states/eV/cell

***

7.
# Sb2OsRhI

A geometry-optimized Sb2OsRhI structure (PBE, the Alexandria database).

Lattice parameters (Å, degrees): 5.6651 4.7639 5.6651 90.00 90.00 90.00
Each line ends with the local moment (μB).
Atoms (fractional coordinates):
1 Sb 0.0000 0.0000 0.5000  -0.02
2 Sb 0.5000 0.0000 0.0000  -0.01
3 Rh 0.5000 0.5000 0.5000  0.40
4 Os 0.0000 0.5000 0.0000  0.39
5 I 0.0000 0.0000 0.0000  -0.01

Results
- Space group: No. 123
- E_form (uncorrected): 2.2396 eV per atom
- DOS at the Fermi energy: 6.2 states/eV/cell

***

8.
# Sb2OsRhI

A geometry-optimized Sb2OsRhI structure (PBE, the Alexandria database).

Lattice parameters (Å, degrees): 5.0131 5.0131 5.6253 90.00 90.00 90.00
Each line ends with the local moment (μB).
Atoms (fractional coordinates):
1 Rh 0.5000 0.5000 0.5000  0.98
2 Sb 0.5000 0.0000 0.0000  0.00
3 Sb 0.0000 0.5000 0.0000  0.00
4 Os 0.0000 0.0000 0.0000  0.04
5 I 0.0000 0.0000 0.5000  0.08

Results
- Space group: No. 123
- E_form (uncorrected): 1.1200 eV per atom
- DOS at the Fermi energy: 5.6 states/eV/cell